No. 1
InHg6Pd12 | PBE | optimized geometry

a b c (Å): 7.199 7.199 7.199
angles (deg): 101.91 101.91 101.91
Positions (direct):
In1 0.000 0.000 0.000
Hg1 0.173 0.175 0.442
Hg2 0.175 0.442 0.173
Hg3 0.442 0.173 0.175
Hg4 0.558 0.827 0.825
Hg5 0.825 0.558 0.827
Hg6 0.827 0.825 0.558
Pd1 0.001 0.747 0.253
Pd2 0.183 0.592 0.590
Pd3 0.253 0.001 0.747
Pd4 0.253 0.747 0.999
Pd5 0.408 0.410 0.817
Pd6 0.410 0.817 0.408
Pd7 0.590 0.183 0.592
Pd8 0.592 0.590 0.183
Pd9 0.747 0.253 0.001
Pd10 0.747 0.999 0.253
Pd11 0.817 0.408 0.410
Pd12 0.999 0.253 0.747

As for the formation energy: -0.05 eV/atom. As for the symmetry: R-3 (148). For the total magnetization, the calculation gives 0.00 μB/f.u.

---

No. 2
In2HgPd | PBE | optimized geometry

a b c (Å): 3.274 3.274 8.310
angles (deg): 90.00 90.00 90.00
Positions (direct):
In1 0.000 0.000 0.208
In2 0.000 0.000 0.792
Hg1 0.500 0.500 0.500
Pd1 0.500 0.500 0.000

As for the formation energy: -0.19 eV/atom. As for the symmetry: P4/mmm (123). For the total magnetization, the calculation gives 0.00 μB/f.u.